Record 1
A geometry-optimized KCoAs2Rh structure, computed with PBE.

Properties
- ΔE_f: -489 meV per atom

Unit cell a=7.361 b=7.361 c=7.361 alpha=149.12 beta=149.12 gamma=44.24
Fractional coordinates of all 5 atoms:
K  0.000  0.000  0.000
Co  0.750  0.250  0.500
As  0.351  0.351  0.000
As  0.649  0.649  0.000
Rh  0.250  0.750  0.500

Record 2
A geometry-optimized KCoAsRh2 structure, computed with PBE.

Properties
- ΔE_f: 631 meV per atom

Unit cell a=4.763 b=4.763 c=4.454 alpha=90.00 beta=90.00 gamma=90.00
Fractional coordinates of all 5 atoms:
K  0.000  0.000  0.000
Co  0.500  0.500  0.500
As  0.500  0.500  0.000
Rh  0.000  0.500  0.500
Rh  0.500  0.000  0.500

Record 3
A geometry-optimized K2ScCoAs structure, computed with PBE.

Properties
- ΔE_f: 634 meV per atom

Unit cell a=6.288 b=6.288 c=4.321 alpha=90.00 beta=90.00 gamma=90.00
Fractional coordinates of all 5 atoms:
K  0.000  0.500  0.000
K  0.500  0.000  0.000
Sc  0.000  0.000  0.500
Co  0.500  0.500  0.500
As  0.500  0.500  0.000

Record 4
A geometry-optimized KCoSi2As structure, computed with PBE.

Properties
- E_form (uncorrected): 370 kJ/mol of formula units

Unit cell a=5.094 b=5.094 c=4.436 alpha=90.00 beta=90.00 gamma=90.00
Fractional coordinates of all 5 atoms:
K  0.000  0.000  0.000
Co  0.500  0.500  0.000
Si  0.000  0.500  0.500
Si  0.500  0.000  0.500
As  0.500  0.500  0.500

no.,mass density (g cm⁻³),DFT total energy (eV per cell)
1,5.56,-27.3
2,6.22,-24.4
3,2.50,-17.1
4,3.31,-19.9